# 1
This record from the Alexandria database describes a geometry-optimized Pm2HoEr5Sc structure. The functional is GGA-PBE.

a b c (Å): 9.820 9.820 9.820
angles (deg): 128.97 128.97 75.06
Fractional coordinates of all 18 atoms:
Pm  0.119  0.619  0.739
Pm  0.381  0.119  0.500
Pm  0.619  0.881  0.500
Pm  0.881  0.381  0.261
Ho  0.250  0.250  0.000
Ho  0.750  0.750  0.000
Er  0.000  0.000  0.000
Er  0.067  0.148  0.500
Er  0.148  0.648  0.081
Er  0.352  0.433  0.500
Er  0.433  0.933  0.081
Er  0.500  0.500  0.000
Er  0.567  0.067  0.919
Er  0.648  0.567  0.500
Er  0.852  0.352  0.919
Er  0.933  0.852  0.500
Sc  0.250  0.750  0.500
Sc  0.750  0.250  0.500

Calculated values
As for the space-group type: No. 140. Its formation energy from the elements is 0.2792 eV per atom.

***

# 2
This record from the Alexandria database describes a geometry-optimized HfNb3I structure. The functional is GGA-PBE.

a b c (Å): 4.974 4.974 4.974
angles (deg): 90.00 90.00 90.00
Fractional coordinates of all 5 atoms:
Hf  0.000  0.000  0.000
Nb  0.000  0.500  0.500
Nb  0.500  0.000  0.500
Nb  0.500  0.500  0.000
I  0.500  0.500  0.500

Calculated values
As for the space-group type: No. 221. For the raw formation energy, the calculation gives 1.448 eV per atom.

***

# 3
This record from the Alexandria database describes a geometry-optimized PmHo9Sc2 structure. The functional is GGA-PBE.

a b c (Å): 11.017 11.017 3.460
angles (deg): 90.00 90.00 120.00
Fractional coordinates of all 12 atoms:
Pm  0.000  0.000  0.000
Ho  0.000  0.500  0.000
Ho  0.180  0.361  0.500
Ho  0.180  0.820  0.500
Ho  0.361  0.180  0.500
Ho  0.500  0.000  0.000
Ho  0.500  0.500  0.000
Ho  0.639  0.820  0.500
Ho  0.820  0.180  0.500
Ho  0.820  0.639  0.500
Sc  0.333  0.667  0.000
Sc  0.667  0.333  0.000

Calculated values
As for the space-group type: No. 191. Its formation energy from the elements is 0.0349 eV per atom.

***

# 4
This record from the Alexandria database describes a geometry-optimized MgAu4Se4Cl4O12 structure. The functional is GGA-PBE.

a b c (Å): 4.742 9.952 11.142
angles (deg): 95.31 97.89 93.80
Fractional coordinates of all 25 atoms:
Mg  0.000  0.000  0.000
Au  0.060  0.127  0.236
Au  0.074  0.549  0.454
Au  0.131  0.968  0.626
Au  0.132  0.567  0.960
Se  0.245  0.837  0.348
Se  0.365  0.423  0.206
Se  0.858  0.686  0.705
Se  0.873  0.258  0.539
Cl  0.397  0.386  0.927
Cl  0.503  0.041  0.008
Cl  0.859  0.753  0.996
Cl  0.867  0.046  0.777
O  0.029  0.558  0.776
O  0.056  0.315  0.174
O  0.155  0.143  0.551
O  0.155  0.391  0.549
O  0.172  0.787  0.699
O  0.230  0.567  0.141
O  0.377  0.904  0.499
O  0.386  0.496  0.355
O  0.737  0.235  0.393
O  0.772  0.603  0.560
O  0.978  0.713  0.365
O  0.988  0.939  0.289

Calculated values
As for the space-group type: No. 1. For the raw formation energy, the calculation gives -0.568 eV per atom.

***

# 5
This record from the Alexandria database describes a geometry-optimized LiTcPb2 structure. The functional is GGA-PBE.

a b c (Å): 5.032 5.032 5.032
angles (deg): 60.00 60.00 60.00
Fractional coordinates of all 4 atoms:
Li  0.000  0.000  0.000
Tc  0.250  0.250  0.250
Pb  0.500  0.500  0.500
Pb  0.750  0.750  0.750

Calculated values
As for the space-group type: No. 216. Its formation energy from the elements is 0.6542 eV per atom.

***

# 6
This record from the Alexandria database describes a geometry-optimized ScTl2Pt structure. The functional is GGA-PBE.

a b c (Å): 3.622 4.904 5.078
angles (deg): 90.00 93.72 90.00
Fractional coordinates of all 4 atoms:
Sc  0.000  0.000  0.000
Tl  0.281  0.500  0.741
Tl  0.719  0.500  0.259
Pt  0.500  0.000  0.500

Calculated values
As for the space-group type: No. 10. Its formation energy from the elements is -0.1980 eV per atom.

***

# 7
This record from the Alexandria database describes a geometry-optimized MnAgOs3 structure. The functional is GGA-PBE.

a b c (Å): 4.437 4.437 4.437
angles (deg): 90.00 90.00 90.00
Fractional coordinates of all 5 atoms:
Mn  0.000  0.000  0.000
Ag  0.500  0.500  0.500
Os  0.000  0.000  0.500
Os  0.000  0.500  0.000
Os  0.500  0.000  0.000

Calculated values
As for the space-group type: No. 221. Its formation energy from the elements is 1.7344 eV per atom.

***

# 8
This record from the Alexandria database describes a geometry-optimized Zr3CdC structure. The functional is GGA-PBE.

a b c (Å): 7.945 7.945 7.945
angles (deg): 137.97 137.97 60.94
Fractional coordinates of all 10 atoms:
Zr  0.204  0.204  0.000
Zr  0.349  0.611  0.738
Zr  0.389  0.127  0.738
Zr  0.389  0.651  0.262
Zr  0.796  0.796  0.000
Zr  0.873  0.611  0.262
Cd  0.624  0.124  0.500
Cd  0.876  0.376  0.500
C  0.250  0.750  0.500
C  0.500  0.500  0.000

Calculated values
As for the space-group type: No. 119. Its formation energy from the elements is 0.3483 eV per atom.

***

# 9
This record from the Alexandria database describes a geometry-optimized DyHo2Pd structure. The functional is GGA-PBE.

a b c (Å): 9.757 9.757 9.757
angles (deg): 21.86 21.86 21.86
Fractional coordinates of all 4 atoms:
Dy  0.000  0.000  0.000
Ho  0.565  0.565  0.565
Ho  0.767  0.767  0.767
Pd  0.165  0.165  0.165

Calculated values
As for the space-group type: No. 160. Its formation energy from the elements is -0.3035 eV per atom.

***

# 10
This record from the Alexandria database describes a geometry-optimized Rb2ZnMoI structure. The functional is GGA-PBE.

a b c (Å): 6.717 6.717 5.079
angles (deg): 90.00 90.00 90.00
Fractional coordinates of all 5 atoms:
Rb  0.000  0.500  0.000
Rb  0.500  0.000  0.000
Zn  0.000  0.000  0.000
Mo  0.000  0.000  0.500
I  0.500  0.500  0.500

Calculated values
As for the space-group type: No. 123. For the raw formation energy, the calculation gives 0.454 eV per atom.

***

# 11
This record from the Alexandria database describes a geometry-optimized ZnSi2Rh2 structure. The functional is GGA-PBE.

a b c (Å): 6.958 6.958 2.915
angles (deg): 90.00 90.00 90.00
Fractional coordinates of all 10 atoms:
Zn  0.000  0.000  0.000
Zn  0.500  0.500  0.000
Si  0.146  0.354  0.500
Si  0.354  0.854  0.500
Si  0.646  0.146  0.500
Si  0.854  0.646  0.500
Rh  0.150  0.650  0.000
Rh  0.350  0.150  0.000
Rh  0.650  0.850  0.000
Rh  0.850  0.350  0.000

Calculated values
As for the space-group type: No. 127. For the raw formation energy, the calculation gives -0.502 eV per atom.

***

# 12
This record from the Alexandria database describes a geometry-optimized TaGaRu structure. The functional is GGA-PBE.

a b c (Å): 4.332 4.332 2.899
angles (deg): 90.00 90.00 120.00
Fractional coordinates of all 3 atoms:
Ta  0.000  0.000  0.000
Ga  0.333  0.667  0.500
Ru  0.667  0.333  0.500

Calculated values
As for the space-group type: No. 187. Its formation energy from the elements is -0.2660 eV per atom.

***

# 13
This record from the Alexandria database describes a geometry-optimized NaNd2Sb4 structure. The functional is GGA-PBE.

a b c (Å): 4.293 4.293 12.262
angles (deg): 90.00 90.00 90.00
Fractional coordinates of all 7 atoms:
Na  0.000  0.000  0.000
Nd  0.000  0.500  0.713
Nd  0.500  0.000  0.287
Sb  0.000  0.000  0.500
Sb  0.000  0.500  0.198
Sb  0.500  0.000  0.802
Sb  0.500  0.500  0.500

Calculated values
As for the space-group type: No. 115. For the raw formation energy, the calculation gives -0.667 eV per atom.

***

# 14
This record from the Alexandria database describes a geometry-optimized NdSm5Dy4 structure. The functional is GGA-PBE.

a b c (Å): 7.935 7.935 7.935
angles (deg): 99.13 99.13 133.04
Fractional coordinates of all 10 atoms:
Nd  0.000  0.000  0.000
Sm  0.458  0.458  0.000
Sm  0.497  0.878  0.917
Sm  0.580  0.497  0.618
Sm  0.878  0.962  0.382
Sm  0.962  0.580  0.083
Dy  0.184  0.883  0.605
Dy  0.278  0.579  0.395
Dy  0.579  0.184  0.301
Dy  0.883  0.278  0.699

Calculated values
As for the space-group type: No. 79. Its formation energy from the elements is 0.2852 eV per atom.

***

# 15
This record from the Alexandria database describes a geometry-optimized Au2CO structure. The functional is GGA-PBE.

a b c (Å): 5.408 5.408 5.408
angles (deg): 117.73 117.73 93.98
Fractional coordinates of all 8 atoms:
Au  0.090  0.125  0.465
Au  0.375  0.910  0.035
Au  0.660  0.625  0.535
Au  0.875  0.340  0.965
C  0.000  0.000  0.000
C  0.750  0.250  0.500
O  0.250  0.750  0.500
O  0.500  0.500  0.000

Calculated values
As for the space-group type: No. 122. For the raw formation energy, the calculation gives 0.965 eV per atom.

***

# 16
This record from the Alexandria database describes a geometry-optimized LiCe4Y3Te8 structure. The functional is GGA-PBE.

a b c (Å): 8.899 8.899 8.899
angles (deg): 59.20 59.20 59.20
Fractional coordinates of all 16 atoms:
Li  0.000  0.000  0.000
Ce  0.000  0.000  0.500
Ce  0.000  0.500  0.000
Ce  0.500  0.000  0.000
Ce  0.500  0.500  0.500
Y  0.000  0.500  0.500
Y  0.500  0.000  0.500
Y  0.500  0.500  0.000
Te  0.241  0.241  0.751
Te  0.241  0.751  0.241
Te  0.249  0.759  0.759
Te  0.253  0.253  0.253
Te  0.747  0.747  0.747
Te  0.751  0.241  0.241
Te  0.759  0.249  0.759
Te  0.759  0.759  0.249

Calculated values
As for the space-group type: No. 166. For the raw formation energy, the calculation gives -1.336 eV per atom.

***

# 17
This record from the Alexandria database describes a geometry-optimized NaAc2PuS4 structure. The functional is GGA-PBE.

a b c (Å): 7.164 4.217 7.333
angles (deg): 90.00 110.04 90.00
Fractional coordinates of all 8 atoms:
Na  0.000  0.000  0.000
Ac  0.500  0.000  0.500
Ac  0.500  0.500  0.000
Pu  0.000  0.500  0.500
S  0.232  0.000  0.739
S  0.239  0.500  0.250
S  0.761  0.500  0.750
S  0.768  0.000  0.261

Calculated values
As for the space-group type: No. 10. For the raw formation energy, the calculation gives -1.795 eV per atom.

***

# 18
This record from the Alexandria database describes a geometry-optimized MnZnFe2 structure. The functional is GGA-PBE.

a b c (Å): 2.474 4.142 4.743
angles (deg): 90.00 98.05 90.00
Fractional coordinates of all 4 atoms:
Mn  0.000  0.000  0.000
Zn  0.716  0.500  0.259
Fe  0.237  0.500  0.756
Fe  0.465  0.000  0.522

Calculated values
As for the space-group type: No. 6. Its formation energy from the elements is 0.1243 eV per atom.

***

# 19
This record from the Alexandria database describes a geometry-optimized NaAg6Pd structure. The functional is GGA-PBE.

a b c (Å): 7.238 6.604 5.084
angles (deg): 75.27 61.94 42.79
Fractional coordinates of all 8 atoms:
Na  0.000  0.000  0.000
Ag  0.125  0.125  0.375
Ag  0.259  0.259  0.741
Ag  0.375  0.375  0.125
Ag  0.625  0.625  0.875
Ag  0.741  0.741  0.259
Ag  0.875  0.875  0.625
Pd  0.500  0.500  0.500

Calculated values
As for the space-group type: No. 69. Its formation energy from the elements is -0.0160 eV per atom.

***

# 20
This record from the Alexandria database describes a geometry-optimized MgNi2Cl structure. The functional is GGA-PBE.

a b c (Å): 2.991 4.190 4.671
angles (deg): 90.00 90.00 90.00
Fractional coordinates of all 4 atoms:
Mg  0.000  0.000  0.000
Ni  0.000  0.500  0.500
Ni  0.500  0.000  0.500
Cl  0.500  0.500  0.000

Calculated values
As for the space-group type: No. 47. For the raw formation energy, the calculation gives 0.126 eV per atom.

***

# 21
This record from the Alexandria database describes a geometry-optimized Tb11Zn9Ni4 structure. The functional is GGA-PBE.

a b c (Å): 12.504 12.504 3.553
angles (deg): 90.00 90.00 112.93
Fractional coordinates of all 24 atoms:
Tb  0.000  0.000  0.000
Tb  0.073  0.414  0.000
Tb  0.167  0.833  0.000
Tb  0.302  0.302  0.000
Tb  0.373  0.627  0.000
Tb  0.414  0.073  0.000
Tb  0.586  0.927  0.000
Tb  0.627  0.373  0.000
Tb  0.698  0.698  0.000
Tb  0.833  0.167  0.000
Tb  0.927  0.586  0.000
Zn  0.075  0.217  0.500
Zn  0.165  0.632  0.500
Zn  0.217  0.075  0.500
Zn  0.368  0.835  0.500
Zn  0.500  0.500  0.500
Zn  0.632  0.165  0.500
Zn  0.783  0.925  0.500
Zn  0.835  0.368  0.500
Zn  0.925  0.783  0.500
Ni  0.248  0.448  0.500
Ni  0.448  0.248  0.500
Ni  0.552  0.752  0.500
Ni  0.752  0.552  0.500

Calculated values
As for the space-group type: No. 65. Its formation energy from the elements is -0.3848 eV per atom.

***

# 22
This record from the Alexandria database describes a geometry-optimized AcDyScTe3 structure. The functional is GGA-PBE.

a b c (Å): 9.000 4.430 10.108
angles (deg): 90.00 106.67 90.00
Fractional coordinates of all 12 atoms:
Ac  0.191  0.250  0.237
Ac  0.809  0.750  0.763
Dy  0.324  0.750  0.839
Dy  0.676  0.250  0.161
Sc  0.091  0.250  0.594
Sc  0.909  0.750  0.406
Te  0.099  0.250  0.883
Te  0.259  0.750  0.508
Te  0.437  0.750  0.163
Te  0.563  0.250  0.837
Te  0.741  0.250  0.492
Te  0.901  0.750  0.117

Calculated values
As for the space-group type: No. 11. For the raw formation energy, the calculation gives -1.249 eV per atom.

***

# 23
This record from the Alexandria database describes a geometry-optimized Be2BN structure. The functional is GGA-PBE.

a b c (Å): 2.891 2.891 7.973
angles (deg): 90.00 90.00 120.00
Fractional coordinates of all 8 atoms:
Be  0.000  0.000  0.000
Be  0.000  0.000  0.418
Be  0.333  0.667  0.225
Be  0.333  0.667  0.801
B  0.000  0.000  0.676
B  0.667  0.333  0.664
N  0.333  0.667  0.012
N  0.667  0.333  0.324

Calculated values
As for the space-group type: No. 156. For the raw formation energy, the calculation gives -0.606 eV per atom.

***

Calculated values (A^3/atom) of calculated volume for the records, taken in order: 30.964; 24.608; 30.314; 20.676; 22.521; 22.505; 17.475; 22.231; 28.231; 45.830; 14.111; 15.702; 32.291; 33.489; 14.420; 30.581; 26.014; 12.029; 17.996; 14.633; 21.320; 32.175; 7.213.